Compound: Pm3ErZn2
Source: the Alexandria database
Functional: PBE
Structure: relaxed

Theoretical density   6.60 g/cm3
Formation energy from the elements   54 meV per atom

Lattice parameters (Å, degrees): 6.9821 7.2905 8.8336 114.37 113.28 90.00
Atoms (fractional coordinates):
1 Pm 0.2262 0.4762 0.4523
2 Pm 0.5000 0.2500 0.0000
3 Pm 0.2262 0.9762 0.4523
4 Pm 0.7738 0.0238 0.5477
5 Pm 0.5000 0.7500 0.0000
6 Pm 0.7738 0.5238 0.5477
7 Zn 0.4306 0.6368 0.2736
8 Zn 0.8430 0.1368 0.2736
9 Zn 0.1570 0.8632 0.7264
10 Zn 0.5694 0.3632 0.7264
11 Er 0.0000 0.5000 0.0000
12 Er 0.0000 0.0000 0.0000